DFT (PBE-GGA) results for a geometry-optimized MgScRh structure.

CIF file:
```
data_MgScRh
_symmetry_space_group_name_H-M 'P 1'
_symmetry_Int_Tables_number 1
_cell_length_a 4.477
_cell_length_b 4.477
_cell_length_c 4.477
_cell_angle_alpha 60.00
_cell_angle_beta 60.00
_cell_angle_gamma 60.00
loop_
_symmetry_equiv_pos_as_xyz
'x,y,z'
loop_
_atom_site_label
_atom_site_type_symbol
_atom_site_fract_x
_atom_site_fract_y
_atom_site_fract_z
Mg1 Mg 0.000 0.000 0.000
Rh1 Rh 0.500 0.500 0.500
Sc1 Sc 0.250 0.250 0.250
```

Results
The calculation puts the formation energy from the elements at 65.4 meV/atom. The value obtained for the density of states at the Fermi level is 0.99 states/eV per cell.



DFT (PBE-GGA) results for a geometry-optimized MgScRh2 structure.

CIF file:
```
data_MgScRh2
_symmetry_space_group_name_H-M 'P 1'
_symmetry_Int_Tables_number 1
_cell_length_a 6.897
_cell_length_b 6.897
_cell_length_c 5.697
_cell_angle_alpha 52.75
_cell_angle_beta 52.75
_cell_angle_gamma 90.00
loop_
_symmetry_equiv_pos_as_xyz
'x,y,z'
loop_
_atom_site_label
_atom_site_type_symbol
_atom_site_fract_x
_atom_site_fract_y
_atom_site_fract_z
Rh1 Rh 0.120 0.625 0.250
Rh2 Rh 0.630 0.125 0.250
Rh3 Rh 0.875 0.880 0.750
Rh4 Rh 0.375 0.370 0.750
Sc1 Sc 0.750 0.250 0.500
Sc2 Sc 0.000 0.000 0.000
Mg1 Mg 0.500 0.500 0.000
Mg2 Mg 0.250 0.750 0.500
```

Results
The calculation puts the formation energy from the elements at -292.7 meV/atom. The value obtained for the density of states at the Fermi level is 4.42 states/eV per cell.



DFT (PBE-GGA) results for a geometry-optimized MgSc2Rh structure.

CIF file:
```
data_MgSc2Rh
_symmetry_space_group_name_H-M 'P 1'
_symmetry_Int_Tables_number 1
_cell_length_a 4.465
_cell_length_b 3.220
_cell_length_c 5.758
_cell_angle_alpha 73.75
_cell_angle_beta 90.00
_cell_angle_gamma 90.00
loop_
_symmetry_equiv_pos_as_xyz
'x,y,z'
loop_
_atom_site_label
_atom_site_type_symbol
_atom_site_fract_x
_atom_site_fract_y
_atom_site_fract_z
Sc1 Sc 0.000 0.967 0.941
Sc2 Sc 0.500 0.300 0.274
Mg1 Mg 0.000 0.691 0.493
Rh1 Rh 0.500 0.543 0.792
```

Results
The calculation puts the formation energy from the elements at -346.5 meV/atom. The value obtained for the density of states at the Fermi level is 3.48 states/eV per cell.



DFT (PBE-GGA) results for a geometry-optimized MgSc2Rh structure.

CIF file:
```
data_MgSc2Rh
_symmetry_space_group_name_H-M 'P 1'
_symmetry_Int_Tables_number 1
_cell_length_a 3.344
_cell_length_b 3.239
_cell_length_c 8.085
_cell_angle_alpha 66.40
_cell_angle_beta 90.00
_cell_angle_gamma 90.00
loop_
_symmetry_equiv_pos_as_xyz
'x,y,z'
loop_
_atom_site_label
_atom_site_type_symbol
_atom_site_fract_x
_atom_site_fract_y
_atom_site_fract_z
Sc1 Sc 0.000 0.460 0.540
Sc2 Sc 0.000 0.040 0.960
Mg1 Mg 0.500 0.250 0.250
Rh1 Rh 0.500 0.750 0.750
```

Results
The calculation puts the formation energy from the elements at -535.8 meV/atom. The value obtained for the density of states at the Fermi level is 2.43 states/eV per cell.



DFT (PBE-GGA) results for a geometry-optimized MgScRh2 structure.

CIF file:
```
data_MgScRh2
_symmetry_space_group_name_H-M 'P 1'
_symmetry_Int_Tables_number 1
_cell_length_a 4.539
_cell_length_b 4.539
_cell_length_c 4.539
_cell_angle_alpha 60.00
_cell_angle_beta 60.00
_cell_angle_gamma 60.00
loop_
_symmetry_equiv_pos_as_xyz
'x,y,z'
loop_
_atom_site_label
_atom_site_type_symbol
_atom_site_fract_x
_atom_site_fract_y
_atom_site_fract_z
Rh1 Rh 0.000 0.000 0.000
Rh2 Rh 0.250 0.250 0.250
Mg1 Mg 0.500 0.500 0.500
Sc1 Sc 0.750 0.750 0.750
```

Results
The calculation puts the formation energy from the elements at -352.7 meV/atom. The value obtained for the density of states at the Fermi level is 6.13 states/eV per cell.



DFT (PBE-GGA) results for a geometry-optimized MgSc2Rh structure.

CIF file:
```
data_MgSc2Rh
_symmetry_space_group_name_H-M 'P 1'
_symmetry_Int_Tables_number 1
_cell_length_a 5.423
_cell_length_b 5.423
_cell_length_c 5.423
_cell_angle_alpha 135.62
_cell_angle_beta 135.62
_cell_angle_gamma 64.57
loop_
_symmetry_equiv_pos_as_xyz
'x,y,z'
loop_
_atom_site_label
_atom_site_type_symbol
_atom_site_fract_x
_atom_site_fract_y
_atom_site_fract_z
Sc1 Sc 0.000 0.000 0.000
Sc2 Sc 0.250 0.750 0.500
Mg1 Mg 0.500 0.500 0.000
Rh1 Rh 0.750 0.250 0.500
```

Results
The calculation puts the formation energy from the elements at -323.3 meV/atom. The value obtained for the density of states at the Fermi level is 4.02 states/eV per cell.



DFT (PBE-GGA) results for a geometry-optimized Mg2ScRh2 structure.

CIF file:
```
data_Mg2ScRh2
_symmetry_space_group_name_H-M 'P 1'
_symmetry_Int_Tables_number 1
_cell_length_a 7.312
_cell_length_b 7.312
_cell_length_c 3.208
_cell_angle_alpha 90.00
_cell_angle_beta 90.00
_cell_angle_gamma 90.00
loop_
_symmetry_equiv_pos_as_xyz
'x,y,z'
loop_
_atom_site_label
_atom_site_type_symbol
_atom_site_fract_x
_atom_site_fract_y
_atom_site_fract_z
Rh1 Rh 0.343 0.843 0.000
Rh2 Rh 0.157 0.343 0.000
Rh3 Rh 0.657 0.157 0.000
Rh4 Rh 0.843 0.657 0.000
Mg1 Mg 0.358 0.142 0.500
Mg2 Mg 0.642 0.858 0.500
Mg3 Mg 0.858 0.358 0.500
Mg4 Mg 0.142 0.642 0.500
Sc1 Sc 0.500 0.500 0.000
Sc2 Sc 0.000 0.000 0.000
```

Results
The calculation puts the formation energy from the elements at -547.8 meV/atom. The value obtained for the density of states at the Fermi level is 3.36 states/eV per cell. The calculation puts the polymorph energy (0 for the lowest one) at 74 meV/atom.



DFT (PBE-GGA) results for a geometry-optimized MgSc2Rh structure.

CIF file:
```
data_MgSc2Rh
_symmetry_space_group_name_H-M 'P 1'
_symmetry_Int_Tables_number 1
_cell_length_a 5.338
_cell_length_b 5.338
_cell_length_c 4.977
_cell_angle_alpha 62.18
_cell_angle_beta 62.18
_cell_angle_gamma 40.48
loop_
_symmetry_equiv_pos_as_xyz
'x,y,z'
loop_
_atom_site_label
_atom_site_type_symbol
_atom_site_fract_x
_atom_site_fract_y
_atom_site_fract_z
Rh1 Rh 0.250 0.250 0.250
Mg1 Mg 0.750 0.750 0.750
Sc1 Sc 0.541 0.541 0.459
Sc2 Sc 0.959 0.959 0.041
```

Results
The calculation puts the formation energy from the elements at -464.4 meV/atom. The value obtained for the density of states at the Fermi level is 2.92 states/eV per cell.